{
  "formula": "Ag6BrCl8",
  "functional": "PBE",
  "state": "relaxed",
  "spacegroup": "P2_1 (4)",
  "n_ef_per_ev_cell": 21.37,
  "e_form_raw_mev_per_atom": -346,
  "dft_energy_ev_per_atom": -2.58,
  "cell": [[7.9047, 0.0000, 0.0000], [0.0000, 12.9991, 0.0000], [-1.7723, 0.0000, 8.2891]],
  "species": ["Ag", "Ag", "Ag", "Ag", "Ag", "Ag", "Ag", "Ag", "Ag", "Ag", "Ag", "Ag", "Br", "Br", "Cl", "Cl", "Cl", "Cl", "Cl", "Cl", "Cl", "Cl", "Cl", "Cl", "Cl", "Cl", "Cl", "Cl", "Cl", "Cl"],
  "frac_coords": [[0.0259, 0.0000, 0.2940], [0.1682, 0.6968, 0.4374], [0.2301, 0.9984, 0.8747], [0.2449, 0.2983, 0.0045], [0.3353, 0.2002, 0.5813], [0.4589, 0.4889, 0.6764], [0.5411, 0.9889, 0.3236], [0.6647, 0.7002, 0.4187], [0.7551, 0.7983, 0.9955], [0.7699, 0.4984, 0.1253], [0.8318, 0.1968, 0.5626], [0.9741, 0.5000, 0.7060], [0.2075, 0.1776, 0.2636], [0.7925, 0.6776, 0.7364], [0.0119, 0.4320, 0.9960], [0.0545, 0.0397, 0.5978], [0.0893, 0.3213, 0.6317], [0.2709, 0.6248, 0.7471], [0.3764, 0.8455, 0.4136], [0.4073, 0.1636, 0.8874], [0.4173, 0.5640, 0.4061], [0.4912, 0.9135, 0.0505], [0.5088, 0.4135, 0.9495], [0.5827, 0.0640, 0.5939], [0.5927, 0.6636, 0.1126], [0.6236, 0.3455, 0.5864], [0.7291, 0.1248, 0.2529], [0.9107, 0.8213, 0.3683], [0.9455, 0.5397, 0.4022], [0.9881, 0.9320, 0.0040]]
}

---

{
  "formula": "Hg2SbPtW",
  "functional": "PBE",
  "state": "relaxed",
  "spacegroup": "P4/mmm (123)",
  "n_ef_per_ev_cell": 5.52,
  "e_form_raw_mev_per_atom": 1290,
  "dft_energy_ev_per_atom": -3.45,
  "cell": [[5.2742, 0.0000, 0.0000], [0.0000, 5.2742, 0.0000], [0.0000, 0.0000, 5.1107]],
  "species": ["Hg", "Hg", "Sb", "Pt", "W"],
  "frac_coords": [[0.0000, 0.5000, 0.0000], [0.5000, 0.0000, 0.0000], [0.0000, 0.0000, 0.5000], [0.5000, 0.5000, 0.5000], [0.0000, 0.0000, 0.0000]]
}

---

{
  "formula": "ZrFeIr",
  "functional": "PBE",
  "state": "relaxed",
  "spacegroup": "F-43m (216)",
  "n_ef_per_ev_cell": 7.30,
  "dft_energy_ev_per_atom": -8.71,
  "formation_enthalpy_0k_ev_per_atom": -0.083,
  "cell": [[6.1653, 0.0000, 0.0000], [0.0000, 6.1653, 0.0000], [0.0000, 0.0000, 6.1653]],
  "species": ["Zr", "Zr", "Zr", "Zr", "Fe", "Fe", "Fe", "Fe", "Ir", "Ir", "Ir", "Ir"],
  "frac_coords": [[0.0000, 0.0000, 0.0000], [0.0000, 0.5000, 0.5000], [0.5000, 0.0000, 0.5000], [0.5000, 0.5000, 0.0000], [0.0000, 0.0000, 0.5000], [0.0000, 0.5000, 0.0000], [0.5000, 0.0000, 0.0000], [0.5000, 0.5000, 0.5000], [0.2500, 0.2500, 0.2500], [0.2500, 0.7500, 0.7500], [0.7500, 0.2500, 0.7500], [0.7500, 0.7500, 0.2500]]
}

---

{
  "formula": "ZrNiAs",
  "functional": "PBE",
  "state": "relaxed",
  "spacegroup": "Pnma (62)",
  "n_ef_per_ev_cell": 4.52,
  "dft_energy_ev_per_atom": -7.22,
  "formation_enthalpy_0k_ev_per_atom": -0.893,
  "cell": [[6.5321, 0.0000, 0.0000], [0.0000, 3.9025, 0.0000], [0.0000, 0.0000, 7.3605]],
  "species": ["Zr", "Zr", "Zr", "Zr", "Ni", "Ni", "Ni", "Ni", "As", "As", "As", "As"],
  "frac_coords": [[0.0140, 0.2500, 0.1866], [0.4860, 0.7500, 0.6866], [0.5140, 0.2500, 0.3134], [0.9860, 0.7500, 0.8134], [0.1631, 0.2500, 0.5724], [0.3369, 0.7500, 0.0724], [0.6631, 0.2500, 0.9276], [0.8369, 0.7500, 0.4276], [0.2176, 0.7500, 0.3930], [0.2824, 0.2500, 0.8930], [0.7176, 0.7500, 0.1070], [0.7824, 0.2500, 0.6070]]
}

---

{
  "formula": "La2GdIn",
  "functional": "PBE",
  "state": "relaxed",
  "spacegroup": "Fm-3m (225)",
  "n_ef_per_ev_cell": 25.59,
  "dft_energy_ev_per_atom": -6.86,
  "formation_enthalpy_0k_ev_per_atom": -0.195,
  "cell": [[8.0043, 0.0000, 0.0000], [0.0000, 8.0043, 0.0000], [0.0000, 0.0000, 8.0043]],
  "species": ["La", "La", "La", "La", "La", "La", "La", "La", "Gd", "Gd", "Gd", "Gd", "In", "In", "In", "In"],
  "frac_coords": [[0.2500, 0.2500, 0.2500], [0.2500, 0.2500, 0.7500], [0.2500, 0.7500, 0.2500], [0.2500, 0.7500, 0.7500], [0.7500, 0.2500, 0.2500], [0.7500, 0.2500, 0.7500], [0.7500, 0.7500, 0.2500], [0.7500, 0.7500, 0.7500], [0.0000, 0.0000, 0.0000], [0.0000, 0.5000, 0.5000], [0.5000, 0.0000, 0.5000], [0.5000, 0.5000, 0.0000], [0.0000, 0.0000, 0.5000], [0.0000, 0.5000, 0.0000], [0.5000, 0.0000, 0.0000], [0.5000, 0.5000, 0.5000]]
}

---

{
  "formula": "CuAs2W",
  "functional": "PBE",
  "state": "relaxed",
  "spacegroup": "Cmmm (65)",
  "n_ef_per_ev_cell": 3.62,
  "dft_energy_ev_per_atom": -6.14,
  "formation_enthalpy_0k_ev_per_atom": 0.445,
  "cell": [[3.3802, 0.0000, 0.0000], [0.0000, 4.8019, 0.0000], [0.0000, 0.0000, 8.0705]],
  "species": ["Cu", "Cu", "As", "As", "As", "As", "W", "W"],
  "frac_coords": [[0.0000, 0.0000, 0.0000], [0.5000, 0.5000, 0.0000], [0.0000, 0.5000, 0.2503], [0.0000, 0.5000, 0.7497], [0.5000, 0.0000, 0.2503], [0.5000, 0.0000, 0.7497], [0.0000, 0.0000, 0.5000], [0.5000, 0.5000, 0.5000]]
}

---

{
  "formula": "Pu2SiTe",
  "functional": "PBE",
  "state": "relaxed",
  "spacegroup": "P4/mmm (123)",
  "n_ef_per_ev_cell": 14.27,
  "e_form_raw_mev_per_atom": -551,
  "dft_energy_ev_per_atom": -9.86,
  "cell": [[3.7754, 0.0000, 0.0000], [0.0000, 3.7754, 0.0000], [0.0000, 0.0000, 6.6603]],
  "species": ["Pu", "Pu", "Si", "Te"],
  "frac_coords": [[0.0000, 0.0000, 0.2218], [0.0000, 0.0000, 0.7782], [0.5000, 0.5000, 0.0000], [0.5000, 0.5000, 0.5000]]
}

---

{
  "formula": "CdSi3Rh",
  "functional": "PBE",
  "state": "relaxed",
  "spacegroup": "Pm-3m (221)",
  "n_ef_per_ev_cell": 3.88,
  "e_form_raw_mev_per_atom": 376,
  "dft_energy_ev_per_atom": -4.53,
  "cell": [[4.6815, 0.0000, 0.0000], [0.0000, 4.6815, 0.0000], [0.0000, 0.0000, 4.6815]],
  "species": ["Cd", "Si", "Si", "Si", "Rh"],
  "frac_coords": [[0.0000, 0.0000, 0.0000], [0.0000, 0.5000, 0.5000], [0.5000, 0.0000, 0.5000], [0.5000, 0.5000, 0.0000], [0.5000, 0.5000, 0.5000]]
}

---

{
  "formula": "GaMoAsPb2",
  "functional": "PBE",
  "state": "relaxed",
  "spacegroup": "P4/mmm (123)",
  "n_ef_per_ev_cell": 3.58,
  "dft_energy_ev_per_atom": -4.75,
  "formation_enthalpy_0k_ev_per_atom": 0.431,
  "cell": [[5.4718, 0.0000, 0.0000], [0.0000, 5.4718, 0.0000], [0.0000, 0.0000, 4.8307]],
  "species": ["Ga", "Mo", "As", "Pb", "Pb"],
  "frac_coords": [[0.0000, 0.0000, 0.0000], [0.5000, 0.5000, 0.5000], [0.5000, 0.5000, 0.0000], [0.0000, 0.5000, 0.5000], [0.5000, 0.0000, 0.5000]]
}

---

{
  "formula": "Cu3Pd12W",
  "functional": "PBE",
  "state": "relaxed",
  "spacegroup": "P4/mmm (123)",
  "n_ef_per_ev_cell": 17.04,
  "dft_energy_ev_per_atom": -5.54,
  "formation_enthalpy_0k_ev_per_atom": -0.071,
  "cell": [[3.9123, 0.0000, 0.0000], [0.0000, 3.9123, 0.0000], [0.0000, 0.0000, 15.5302]],
  "species": ["Cu", "Cu", "Cu", "Pd", "Pd", "Pd", "Pd", "Pd", "Pd", "Pd", "Pd", "Pd", "Pd", "Pd", "Pd", "W"],
  "frac_coords": [[0.0000, 0.0000, 0.0000], [0.0000, 0.0000, 0.2459], [0.0000, 0.0000, 0.7541], [0.0000, 0.5000, 0.1238], [0.0000, 0.5000, 0.3767], [0.0000, 0.5000, 0.6233], [0.0000, 0.5000, 0.8762], [0.5000, 0.0000, 0.1238], [0.5000, 0.0000, 0.3767], [0.5000, 0.0000, 0.6233], [0.5000, 0.0000, 0.8762], [0.5000, 0.5000, 0.0000], [0.5000, 0.5000, 0.2493], [0.5000, 0.5000, 0.5000], [0.5000, 0.5000, 0.7507], [0.0000, 0.0000, 0.5000]]
}

---

{
  "formula": "Sm2GaFe2Rh5",
  "functional": "PBE",
  "state": "relaxed",
  "spacegroup": "P4/mbm (127)",
  "n_ef_per_ev_cell": 17.01,
  "dft_energy_ev_per_atom": -7.01,
  "formation_enthalpy_0k_ev_per_atom": -0.391,
  "cell": [[9.6219, 0.0000, 0.0000], [0.0000, 9.6219, 0.0000], [0.0000, 0.0000, 3.6586]],
  "species": ["Sm", "Sm", "Sm", "Sm", "Ga", "Ga", "Fe", "Fe", "Fe", "Fe", "Rh", "Rh", "Rh", "Rh", "Rh", "Rh", "Rh", "Rh", "Rh", "Rh"],
  "frac_coords": [[0.1774, 0.3226, 0.0000], [0.3226, 0.8226, 0.0000], [0.6774, 0.1774, 0.0000], [0.8226, 0.6774, 0.0000], [0.0000, 0.0000, 0.0000], [0.5000, 0.5000, 0.0000], [0.1224, 0.6224, 0.0000], [0.3776, 0.1224, 0.0000], [0.6224, 0.8776, 0.0000], [0.8776, 0.3776, 0.0000], [0.0000, 0.5000, 0.5000], [0.0633, 0.7957, 0.5000], [0.2043, 0.0633, 0.5000], [0.2957, 0.5633, 0.5000], [0.4367, 0.2957, 0.5000], [0.5000, 0.0000, 0.5000], [0.5633, 0.7043, 0.5000], [0.7043, 0.4367, 0.5000], [0.7957, 0.9367, 0.5000], [0.9367, 0.2043, 0.5000]]
}

---

{
  "formula": "PrFeTe2",
  "functional": "PBE",
  "state": "relaxed",
  "spacegroup": "R-3m (166)",
  "n_ef_per_ev_cell": 16.09,
  "e_form_raw_mev_per_atom": -82,
  "dft_energy_ev_per_atom": -4.96,
  "cell": [[3.7114, 0.0000, 0.0000], [-1.8557, 3.2142, 0.0000], [0.0000, 0.0000, 28.4911]],
  "species": ["Pr", "Pr", "Pr", "Fe", "Fe", "Fe", "Te", "Te", "Te", "Te", "Te", "Te"],
  "frac_coords": [[0.0000, 0.0000, 0.0000], [0.3333, 0.6667, 0.6667], [0.6667, 0.3333, 0.3333], [0.0000, 0.0000, 0.5000], [0.3333, 0.6667, 0.1667], [0.6667, 0.3333, 0.8333], [0.0000, 0.0000, 0.1123], [0.0000, 0.0000, 0.8877], [0.3333, 0.6667, 0.5543], [0.3333, 0.6667, 0.7790], [0.6667, 0.3333, 0.2210], [0.6667, 0.3333, 0.4457]]
}